(1)
Ta2CoCu | PBE | relaxed

Output
For the calculated volume, the calculation gives 59.29 Å³ per cell. The space group is No. 99. The density of states at the Fermi level is 2.53 states/eV/cell. The calculated formation energy comes out at -0.1 eV per formula unit.

Cell lengths 3.137, 3.137, 6.025 Å; angles 90.00, 90.00, 90.00 degrees
Element x y z (fractional)
Ta1 0.000 0.000 0.000
Ta2 0.500 0.500 0.312
Co1 0.000 0.000 0.529
Cu1 0.500 0.500 0.755

(2)
Sc2CrOs | PBE | relaxed

Output
For the calculated volume, the calculation gives 68.09 Å³ per cell. The space group is No. 12. The density of states at the Fermi level is 5.35 states/eV/cell. The calculated formation energy comes out at 0.6 eV per formula unit.

Cell lengths 5.184, 5.184, 2.918 Å; angles 101.13, 101.13, 112.24 degrees
Element x y z (fractional)
Sc1 0.000 0.500 0.000
Sc2 0.500 0.000 0.000
Cr1 0.000 0.000 0.500
Os1 0.500 0.500 0.500

(3)
Cs2KUH6 | PBE | relaxed

Output
As for the total energy: -3.412 eV per atom. For the calculated volume, the calculation gives 228.16 Å³ per cell. The space group is No. 225. The density of states at the Fermi level is 10.07 states/eV/cell.

Cell lengths 6.859, 6.859, 6.859 Å; angles 60.00, 60.00, 60.00 degrees
Element x y z (fractional)
Cs1 0.250 0.250 0.250
Cs2 0.750 0.750 0.750
K1 0.000 0.000 0.000
U1 0.500 0.500 0.500
H1 0.267 0.267 0.733
H2 0.267 0.733 0.267
H3 0.267 0.733 0.733
H4 0.733 0.267 0.267
H5 0.733 0.267 0.733
H6 0.733 0.733 0.267

(4)
KHg3Au3 | PBE | relaxed

Output
For the calculated volume, the calculation gives 484.22 Å³ per cell. The space group is No. 223. The density of states at the Fermi level is 3.84 states/eV/cell. The calculated formation energy comes out at 0.3 eV per formula unit.

Cell lengths 7.853, 7.853, 7.853 Å; angles 90.00, 90.00, 90.00 degrees
Element x y z (fractional)
K1 0.000 0.000 0.000
K2 0.500 0.500 0.500
Hg1 0.000 0.250 0.500
Hg2 0.000 0.750 0.500
Hg3 0.250 0.500 0.000
Hg4 0.500 0.000 0.250
Hg5 0.500 0.000 0.750
Hg6 0.750 0.500 0.000
Au1 0.000 0.500 0.250
Au2 0.000 0.500 0.750
Au3 0.250 0.000 0.500
Au4 0.500 0.250 0.000
Au5 0.500 0.750 0.000
Au6 0.750 0.000 0.500

(5)
In5Hg2Pb | PBE | relaxed

Output
For the calculated volume, the calculation gives 219.45 Å³ per cell. The space group is No. 71. The density of states at the Fermi level is 3.35 states/eV/cell. The calculated formation energy comes out at 0.1 eV per formula unit.

Cell lengths 8.356, 8.356, 8.356 Å; angles 156.93, 103.40, 81.27 degrees
Element x y z (fractional)
In1 0.000 0.000 0.000
In2 0.112 0.372 0.740
In3 0.368 0.628 0.740
In4 0.632 0.372 0.260
In5 0.888 0.628 0.260
Hg1 0.253 0.253 0.000
Hg2 0.747 0.747 0.000
Pb1 0.500 0.000 0.500

(6)
LaPr5DyY2 | PBE | relaxed

Output
For the calculated volume, the calculation gives 648.07 Å³ per cell. The space group is No. 140. The density of states at the Fermi level is 28.91 states/eV/cell. The calculated formation energy comes out at 2.6 eV per formula unit.

Cell lengths 9.804, 9.804, 9.804 Å; angles 121.72, 121.72, 87.05 degrees
Element x y z (fractional)
La1 0.250 0.250 0.000
La2 0.750 0.750 0.000
Pr1 0.000 0.000 0.000
Pr2 0.070 0.570 0.905
Pr3 0.165 0.070 0.500
Pr4 0.335 0.835 0.905
Pr5 0.430 0.335 0.500
Pr6 0.500 0.500 0.000
Pr7 0.570 0.665 0.500
Pr8 0.665 0.165 0.095
Pr9 0.835 0.930 0.500
Pr10 0.930 0.430 0.095
Dy1 0.250 0.750 0.500
Dy2 0.750 0.250 0.500
Y1 0.108 0.392 0.500
Y2 0.392 0.892 0.283
Y3 0.608 0.108 0.717
Y4 0.892 0.608 0.500

(7)
ZrNb2C | PBE | relaxed

Output
For the calculated volume, the calculation gives 134.54 Å³ per cell. The space group is No. 122. The density of states at the Fermi level is 6.19 states/eV/cell. The calculated formation energy comes out at 0.2 eV per formula unit.

Cell lengths 5.827, 5.827, 5.827 Å; angles 99.58, 99.58, 131.85 degrees
Element x y z (fractional)
Zr1 0.000 0.000 0.000
Zr2 0.750 0.250 0.500
Nb1 0.237 0.125 0.612
Nb2 0.375 0.763 0.888
Nb3 0.513 0.625 0.388
Nb4 0.875 0.487 0.112
C1 0.250 0.750 0.500
C2 0.500 0.500 0.000

(8)
Pr7TlI12 | PBE | relaxed

Output
As for the total energy: -3.940 eV per atom. For the calculated volume, the calculation gives 838.89 Å³ per cell. The space group is No. 148. The density of states at the Fermi level is 12.07 states/eV/cell.

Cell lengths 10.154, 10.154, 10.154 Å; angles 108.31, 108.31, 108.31 degrees
Element x y z (fractional)
Pr1 0.000 0.000 0.000
Pr2 0.163 0.383 0.453
Pr3 0.383 0.453 0.163
Pr4 0.453 0.163 0.383
Pr5 0.547 0.837 0.617
Pr6 0.617 0.547 0.837
Pr7 0.837 0.617 0.547
Tl1 0.500 0.500 0.500
I1 0.023 0.344 0.103
I2 0.103 0.023 0.344
I3 0.194 0.731 0.578
I4 0.269 0.422 0.806
I5 0.344 0.103 0.023
I6 0.422 0.806 0.269
I7 0.578 0.194 0.731
I8 0.656 0.897 0.977
I9 0.731 0.578 0.194
I10 0.806 0.269 0.422
I11 0.897 0.977 0.656
I12 0.977 0.656 0.897

(9)
CrReIr2 | PBE | relaxed

Output
For the calculated volume, the calculation gives 124.55 Å³ per cell. The space group is No. 122. The density of states at the Fermi level is 8.63 states/eV/cell. The calculated formation energy comes out at 2.1 eV per formula unit.

Cell lengths 9.213, 9.213, 9.213 Å; angles 156.47, 156.47, 33.52 degrees
Element x y z (fractional)
Cr1 0.000 0.000 0.000
Cr2 0.750 0.250 0.500
Re1 0.250 0.750 0.500
Re2 0.500 0.500 0.000
Ir1 0.115 0.625 0.990
Ir2 0.375 0.365 0.490
Ir3 0.635 0.125 0.010
Ir4 0.875 0.885 0.510

(10)
RbAu2I6 | PBE | relaxed

Output
As for the total energy: -2.205 eV per atom. For the calculated volume, the calculation gives 848.20 Å³ per cell. The space group is No. 15. The density of states at the Fermi level is 2.75 states/eV/cell.

Cell lengths 12.385, 12.385, 7.066 Å; angles 94.78, 94.78, 127.18 degrees
Element x y z (fractional)
Rb1 0.237 0.763 0.750
Rb2 0.763 0.237 0.250
Au1 0.168 0.327 0.613
Au2 0.327 0.168 0.113
Au3 0.673 0.832 0.887
Au4 0.832 0.673 0.387
I1 0.010 0.389 0.739
I2 0.162 0.221 0.944
I3 0.221 0.162 0.444
I4 0.266 0.524 0.381
I5 0.389 0.010 0.239
I6 0.476 0.734 0.119
I7 0.524 0.266 0.881
I8 0.611 0.990 0.761
I9 0.734 0.476 0.619
I10 0.779 0.838 0.556
I11 0.838 0.779 0.056
I12 0.990 0.611 0.261

(11)
Ho4TeSeS2 | PBE | relaxed

Output
As for the total energy: -5.765 eV per atom. For the calculated volume, the calculation gives 189.30 Å³ per cell. The space group is No. 42. The density of states at the Fermi level is 4.44 states/eV/cell.

Cell lengths 7.030, 5.742, 7.033 Å; angles 65.87, 48.20, 65.93 degrees
Element x y z (fractional)
Ho1 0.001 0.500 0.999
Ho2 0.242 0.758 0.242
Ho3 0.500 0.001 0.500
Ho4 0.758 0.242 0.758
Te1 0.501 0.501 0.499
Se1 0.000 0.000 0.000
S1 0.250 0.250 0.250
S2 0.750 0.750 0.750

(12)
NaBiOsPb2 | PBE | relaxed

Output
For the calculated volume, the calculation gives 196.18 Å³ per cell. The space group is No. 123. The density of states at the Fermi level is 5.23 states/eV/cell. The calculated formation energy comes out at 8.0 eV per formula unit.

Cell lengths 5.978, 5.978, 5.489 Å; angles 90.00, 90.00, 90.00 degrees
Element x y z (fractional)
Na1 0.000 0.000 0.000
Bi1 0.000 0.000 0.500
Os1 0.500 0.500 0.000
Pb1 0.000 0.500 0.500
Pb2 0.500 0.000 0.500